{"formula": "NaMoP2S", "functional": "GGA-PBEsol", "state": "optimized geometry", "magmom_total_mub_per_fu": 0.00, "volume_a3_per_atom": 20.720, "raw_formation_energy_ev_per_atom": -0.018, "lattice": [[4.675, 0.000, 0.000], [0.000, 4.675, 0.000], [0.000, 0.000, 4.741]], "species": ["Na", "Mo", "P", "P", "S"], "frac_coords": [[0.000, 0.000, 0.000], [0.500, 0.500, 0.500], [0.000, 0.500, 0.500], [0.500, 0.000, 0.500], [0.500, 0.500, 0.000]]}